1.
This record from the Alexandria database describes an optimized crystal structure of Sr2SnF. The functional is GGA-PBE.

Summary:
ΔE to the lowest computed polymorph ... 0 meV per atom

abc: 6.5588 6.7004 11.2170
angles: 95.28 90.00 90.00
Sites, in units of the cell vectors:
Sr 0.2046 0.5333 0.8476
Sr 0.2430 0.4176 0.4181
Sn 0.6947 0.1045 0.6390
F 0.8714 0.4027 0.3701
F 0.8714 0.0973 0.1299
Sr 0.2046 0.9667 0.6524
Sr 0.7570 0.5824 0.5819
Sr 0.2430 0.0824 0.0819
Sr 0.7954 0.0333 0.3476
F 0.1286 0.9027 0.8701
Sr 0.7570 0.9176 0.9181
Sn 0.6947 0.3955 0.8610
Sn 0.3053 0.8955 0.3610
Sn 0.3053 0.6045 0.1390
Sr 0.7954 0.4667 0.1524
F 0.1286 0.5973 0.6299

---

2.
This record from the Alexandria database describes an optimized crystal structure of Sr4Sn2F. The functional is GGA-PBE.

Summary:
ΔE to the lowest computed polymorph ... 0 meV per atom

abc: 5.0420 5.0420 9.8528
angles: 104.82 104.82 90.00
Sites, in units of the cell vectors:
Sr 0.5000 0.0000 0.0000
F 0.0000 0.0000 0.0000
Sr 0.8179 0.8179 0.6359
Sr 0.0000 0.5000 0.0000
Sr 0.1821 0.1821 0.3641
Sn 0.3687 0.3687 0.7374
Sn 0.6313 0.6313 0.2626